# BeCo3Ag

BeCo3Ag after structural relaxation (PBE-GGA, Alexandria via LeMat-Bulk).

a b c (Å): 3.955 3.955 3.955
angles (deg): 90.00 90.00 90.00
Fractional positions:
1 Be 0.000 0.000 0.000
2 Co 0.000 0.500 0.000
3 Co 0.000 0.000 0.500
4 Co 0.500 0.000 0.000
5 Ag 0.500 0.500 0.500

Output
- raw total energy (eV/cell) = -25.015
- relative energy among the computed polymorphs (meV/atom) = 0
- symmetry = No. 221
- ΔH_f (0 K) (eV/f.u.) = 2.88
- density of states at the Fermi level (states/eV/f.u.) = 4.7